Material: BaMnBiSe4
Method: DFT, PBE
State: optimized geometry

Cell: 7.4426 6.1506 9.1310 Å, 90.00 105.55 90.00°
Last column: nearest neighbours and their distance in Å.
Space group P2_1/m (No. 11)
Symmetry-distinct sites (fractional):
1 Ba 0.2411 0.2500 0.4339 x2  8 Se 3.33-3.44
2 Mn 0.2749 0.7500 0.1804 x2  4 Se 2.45-2.53
3 Bi 0.2113 0.2500 0.9128 x2  2 Se 2.78-2.97
4 Se 0.0682 0.7500 0.3595 x2  1 Mn 2.53, 1 Bi 2.78
5 Se 0.0740 0.7500 0.9138 x2  1 Mn 2.49
6 Se 0.4681 0.5136 0.7570 x4  1 Mn 2.45

Final energy (eV per atom): -4.929

***

Material: BaSr2MnBi
Method: DFT, PBE
State: optimized geometry

Cell: 5.8130 5.8130 5.8419 Å, 90.00 90.00 90.00°
Last column: nearest neighbours and their distance in Å.
Space group P4/mmm (No. 123)
Symmetry-distinct sites (fractional):
1 Ba 0.0000 0.0000 0.0000 x1  2 Mn 2.92
2 Sr 0.0000 0.5000 0.5000 x2  2 Mn 2.91
3 Mn 0.0000 0.0000 0.5000 x1  4 Sr 2.91, 2 Ba 2.92
4 Bi 0.5000 0.5000 0.0000 x1  4 Ba 4.11, 8 Sr 4.12

E_form (kJ per mole of atoms): 15.8

***

Material: BaTiMnBi2
Method: DFT, PBE
State: optimized geometry

Cell: 6.1917 6.1917 5.4830 Å, 90.00 90.00 90.00°
Last column: nearest neighbours and their distance in Å.
Space group P4/mmm (No. 123)
Symmetry-distinct sites (fractional):
1 Ba 0.0000 0.0000 0.0000 x1  2 Mn 2.74
2 Ti 0.5000 0.5000 0.5000 x1  8 Bi 4.14, 4 Mn 4.38
3 Mn 0.0000 0.0000 0.5000 x1  2 Ba 2.74
4 Bi 0.0000 0.5000 0.0000 x2  2 Ba 3.10

E_form (kJ per mole of atoms): 162.6

***

Material: BaBi3Mo
Method: DFT, PBE
State: optimized geometry

Cell: 6.0943 6.0943 6.0943 Å, 90.00 90.00 90.00°
Last column: nearest neighbours and their distance in Å.
Space group Pm-3m (No. 221)
Symmetry-distinct sites (fractional):
1 Ba 0.0000 0.0000 0.0000 x1  6 Bi 3.05
2 Bi 0.0000 0.0000 0.5000 x3  2 Ba 3.05
3 Mo 0.5000 0.5000 0.5000 x1  12 Bi 4.31

E_form (kJ per mole of atoms): 204.7
ΔE to the lowest computed polymorph (eV/f.u.): 10.12

***

Material: BaBiMo3
Method: DFT, PBE
State: optimized geometry

Cell: 5.2679 5.2679 5.2679 Å, 90.00 90.00 90.00°
Last column: nearest neighbours and their distance in Å.
Space group Pm-3m (No. 221)
Symmetry-distinct sites (fractional):
1 Ba 0.0000 0.0000 0.0000 x1  12 Mo 3.72
2 Bi 0.5000 0.5000 0.5000 x1  6 Mo 2.63
3 Mo 0.0000 0.5000 0.5000 x3  2 Bi 2.63

E_form (kJ per mole of atoms): 187.0
ΔE to the lowest computed polymorph (eV/f.u.): 0.00

***

Material: Ba3BiMo
Method: DFT, PBE
State: optimized geometry

Cell: 5.8345 5.8345 5.8345 Å, 90.00 90.00 90.00°
Last column: nearest neighbours and their distance in Å.
Space group Pm-3m (No. 221)
Symmetry-distinct sites (fractional):
1 Ba 0.0000 0.0000 0.5000 x3  2 Mo 2.92
2 Bi 0.5000 0.5000 0.5000 x1  12 Ba 4.13
3 Mo 0.0000 0.0000 0.0000 x1  6 Ba 2.92

E_form (kJ per mole of atoms): 35.5
ΔE to the lowest computed polymorph (eV/f.u.): 0.00

***

Number 1: total magnetic moment 4.815 μB per formula unit. Number 2: total magnetic moment 2.414 μB per formula unit. Number 3: total magnetic moment 5.021 μB per formula unit. Number 4: total magnetic moment 0.000 μB per formula unit. Number 5: total magnetic moment 4.992 μB per formula unit. Number 6: total magnetic moment 0.000 μB per formula unit.